The following is a PBE-GGA calculation of a relaxed structure of Tb3SmB, from Alexandria via LeMat-Bulk.

Properties
For the electronic total energy, the calculation gives -4.98 eV per atom. As for the calculated formation energy: 0.07 eV/atom. The value obtained for the mass density is 7.5 g/cm³. For the density of states at the Fermi level, the calculation gives 6.433 states/eV per cell. As for the spin magnetization: 0.0 μB/f.u.

abc: 5.1986 5.1986 5.1986
angles: 90.00 90.00 90.00
Space group Pm-3m (No. 221)
Asymmetric unit:
Tb  0.0000  0.0000  0.5000 (multiplicity 3)
Sm  0.5000  0.5000  0.5000 (multiplicity 1)
B  0.0000  0.0000  0.0000 (multiplicity 1)